First-principles (GGA-PBE) data for a relaxed Ac2Sm3Pd4 crystal, as listed in Alexandria via LeMat-Bulk.

Summary:
**Energy of formation**: -0.75 eV per atom
**Calculated volume**: 486.1 Å³ per cell
**SG**: P2_1/c, No. 14

Unit cell a=8.3922 b=7.7903 c=7.8459 alpha=90.00 beta=90.00 gamma=108.62
Element x y z (fractional)
Sm 0.0000 0.5000 0.5000
Sm 0.2496 0.7551 0.1617
Sm 0.7504 0.2449 0.8383
Sm 0.2504 0.2449 0.6617
Sm 0.5000 0.5000 0.0000
Sm 0.7496 0.7551 0.3383
Ac 0.5934 0.1996 0.3272
Ac 0.4066 0.8004 0.6728
Ac 0.9066 0.8004 0.8272
Ac 0.0934 0.1996 0.1728
Pd 0.1220 0.4963 0.8682
Pd 0.6220 0.4963 0.6318
Pd 0.1223 0.9057 0.4590
Pd 0.6223 0.9057 0.0410
Pd 0.8780 0.5037 0.1318
Pd 0.3780 0.5037 0.3682
Pd 0.3777 0.0943 0.9590
Pd 0.8777 0.0943 0.5410